Record 1
Below is a crystal of CuH2Pd relaxed with PBEsol, with properties calculated at the SCAN level.

The structure in POSCAR format:
```
CuH2Pd
1.0
-1.9738 1.9738 4.2950
1.9738 -1.9738 4.2950
1.9738 1.9738 -4.2950
Cu H Pd
2 4 2
Direct
0.0000 0.0000 0.0000
0.7500 0.2500 0.5000
0.1167 0.6250 0.9917
0.3750 0.3667 0.4917
0.6333 0.1250 0.0083
0.8750 0.8833 0.5083
0.2500 0.7500 0.5000
0.5000 0.5000 0.0000
```

Results
**Electronic total energy**: -13.7138 eV per atom

***

Record 2
Below is a crystal of KLiIn2As relaxed with PBEsol, with properties calculated at the SCAN level.

The structure in POSCAR format:
```
KLiIn2As
1.0
5.8320 0.0000 0.0000
0.0000 5.8320 0.0000
0.0000 0.0000 5.6224
K Li In As
1 1 2 1
Direct
0.0000 0.0000 0.0000
0.5000 0.5000 0.5000
0.0000 0.5000 0.0000
0.5000 0.0000 0.0000
0.0000 0.0000 0.5000
```

Results
**DFT formation energy**: 0.7804 eV per atom

***

Record 3
Below is a crystal of CsBa2HfC relaxed with PBEsol, with properties calculated at the SCAN level.

The structure in POSCAR format:
```
CsBa2HfC
1.0
5.6971 0.0000 0.0000
0.0000 5.6971 0.0000
0.0000 0.0000 5.6965
Cs Ba Hf C
1 2 1 1
Direct
0.0000 0.0000 0.0000
0.0000 0.5000 0.5000
0.5000 0.0000 0.5000
0.5000 0.5000 0.0000
0.0000 0.0000 0.5000
```

Results
**DFT formation energy**: 1.3725 eV per atom

***

Record 4
Below is a crystal of ScZn4Au relaxed with PBEsol, with properties calculated at the SCAN level.

The structure in POSCAR format:
```
ScZn4Au
1.0
0.0000 3.5858 3.5858
3.5858 0.0000 3.5858
3.5858 3.5858 0.0000
Sc Zn Au
1 4 1
Direct
0.0000 0.0000 0.0000
0.1237 0.6254 0.6254
0.6254 0.1237 0.6254
0.6254 0.6254 0.1237
0.6254 0.6254 0.6254
0.2500 0.2500 0.2500
```

Results
**DFT formation energy**: -0.2883 eV per atom

***

Record 5
Below is a crystal of MgBrO2 relaxed with PBEsol, with properties calculated at the SCAN level.

The structure in POSCAR format:
```
MgBrO2
1.0
0.0000 2.8994 2.8994
2.8994 0.0000 2.8994
2.8994 2.8994 0.0000
Mg Br O
1 1 2
Direct
0.0000 0.0000 0.0000
0.5000 0.5000 0.5000
0.2500 0.2500 0.2500
0.7500 0.7500 0.7500
```

Results
**ΔE_f (raw)**: -0.3 eV per formula unit

***

Repeat the fifth record exactly.
Below is a crystal of MgBrO2 relaxed with PBEsol, with properties calculated at the SCAN level.

The structure in POSCAR format:
```
MgBrO2
1.0
0.0000 2.8994 2.8994
2.8994 0.0000 2.8994
2.8994 2.8994 0.0000
Mg Br O
1 1 2
Direct
0.0000 0.0000 0.0000
0.5000 0.5000 0.5000
0.2500 0.2500 0.2500
0.7500 0.7500 0.7500
```

Results
**ΔE_f (raw)**: -0.3 eV per formula unit